(1)
# LaCe3Si2 | Alexandria | GGA-PBE | optimized geometry
data_LaCe3Si2
_chemical_formula_sum 'La4 Ce12 Si8'
_symmetry_space_group_name_H-M 'C 1 2/m 1'
_symmetry_Int_Tables_number 12
_symmetry_space_group_name_Hall '-C 2y'
_cell_length_a 17.673
_cell_length_b 4.453
_cell_length_c 8.937
_cell_angle_alpha 90.00
_cell_angle_beta 118.45
_cell_angle_gamma 90.00
loop_
_atom_site_label
_atom_site_type_symbol
_atom_site_fract_x
_atom_site_fract_y
_atom_site_fract_z
La1 La 0.130 0.000 0.074
Ce1 Ce 0.039 0.000 0.392
Ce2 Ce 0.109 0.500 0.709
Ce3 Ce 0.181 0.500 0.486
Si1 Si 0.015 0.500 0.144
Si2 Si 0.226 0.000 0.736
# **Uncorrected formation energy**: -0.4024 eV per atom
# **Total energy**: -6.00 eV per atom
# **Total moment**: 0.000 μB/atom
# **D(E_F)**: 39.874 states/eV per cell
# **Calculated volume**: 618 Å³ per cell


(2)
# SrAlCuIr2 | Alexandria | GGA-PBE | optimized geometry
data_SrAlCuIr2
_chemical_formula_sum 'Sr1 Al1 Cu1 Ir2'
_symmetry_space_group_name_H-M 'P 4/m m m'
_symmetry_Int_Tables_number 123
_symmetry_space_group_name_Hall '-P 4 2'
_cell_length_a 4.561
_cell_length_b 4.561
_cell_length_c 5.400
_cell_angle_alpha 90.00
_cell_angle_beta 90.00
_cell_angle_gamma 90.00
loop_
_atom_site_label
_atom_site_type_symbol
_atom_site_fract_x
_atom_site_fract_y
_atom_site_fract_z
Sr1 Sr 0.000 0.000 0.000
Al1 Al 0.000 0.000 0.500
Cu1 Cu 0.500 0.500 0.000
Ir1 Ir 0.000 0.500 0.500
# **Total energy**: -4.66 eV per atom
# **Formation energy from the elements**: 0.79 eV per atom
# **Total moment**: 0.000 μB/atom
# **D(E_F)**: 2.453 states/eV per cell
# **Calculated volume**: 112 Å³ per cell


(3)
# PmZnGa2Pd2 | Alexandria | GGA-PBE | optimized geometry
data_PmZnGa2Pd2
_chemical_formula_sum 'Pm1 Zn1 Ga2 Pd2'
_symmetry_space_group_name_H-M 'P -3 m 1'
_symmetry_Int_Tables_number 164
_symmetry_space_group_name_Hall '-P 3 2"'
_cell_length_a 4.3414
_cell_length_b 4.3414
_cell_length_c 6.8008
_cell_angle_alpha 90.00
_cell_angle_beta 90.00
_cell_angle_gamma 120.00
loop_
_atom_site_label
_atom_site_type_symbol
_atom_site_fract_x
_atom_site_fract_y
_atom_site_fract_z
Pm1 Pm 0.0000 0.0000 0.0000
Zn1 Zn 0.0000 0.0000 0.5000
Ga1 Ga 0.3333 0.6667 0.7340
Pd1 Pd 0.3333 0.6667 0.3461
# **Total energy**: -4.42 eV per atom
# **Formation energy from the elements**: -0.68 eV per atom
# **Total moment**: 0.000 μB/atom
# **D(E_F)**: 3.784 states/eV per cell
# **Calculated volume**: 111 Å³ per cell


(4)
# KPPb | Alexandria | GGA-PBE | optimized geometry
data_KPPb
_chemical_formula_sum 'K2 P2 Pb2'
_symmetry_space_group_name_H-M 'I 4 m m'
_symmetry_Int_Tables_number 107
_symmetry_space_group_name_Hall 'I 4 -2'
_cell_length_a 3.743
_cell_length_b 3.743
_cell_length_c 12.550
_cell_angle_alpha 90.00
_cell_angle_beta 90.00
_cell_angle_gamma 90.00
loop_
_atom_site_label
_atom_site_type_symbol
_atom_site_fract_x
_atom_site_fract_y
_atom_site_fract_z
K1 K 0.000 0.000 0.000
P1 P 0.000 0.000 0.319
Pb1 Pb 0.000 0.000 0.723
# **Total energy**: -3.49 eV per atom
# **Formation energy from the elements**: -0.09 eV per atom
# **Total moment**: 0.000 μB/atom
# **D(E_F)**: 2.646 states/eV per cell
# **Calculated volume**: 176 Å³ per cell


(5)
# YV2Cu2 | Alexandria | GGA-PBE | optimized geometry
data_YV2Cu2
_chemical_formula_sum 'Y2 V4 Cu4'
_symmetry_space_group_name_H-M 'I 4/m m m'
_symmetry_Int_Tables_number 139
_symmetry_space_group_name_Hall '-I 4 2'
_cell_length_a 4.109
_cell_length_b 4.109
_cell_length_c 10.241
_cell_angle_alpha 90.00
_cell_angle_beta 90.00
_cell_angle_gamma 90.00
loop_
_atom_site_label
_atom_site_type_symbol
_atom_site_fract_x
_atom_site_fract_y
_atom_site_fract_z
Y1 Y 0.000 0.000 0.000
V1 V 0.000 0.000 0.390
Cu1 Cu 0.000 0.500 0.250
# **ΔE to the lowest computed polymorph**: 0.083 eV/atom
# **Total energy**: -6.23 eV per atom
# **Formation energy from the elements**: 0.34 eV per atom
# **Total moment**: 0.537 μB/atom
# **D(E_F)**: 8.309 states/eV per cell
# **Calculated volume**: 173 Å³ per cell


(6)
# UAgGe2 | Alexandria | GGA-PBE | optimized geometry
data_UAgGe2
_chemical_formula_sum 'U1 Ag1 Ge2'
_symmetry_space_group_name_H-M 'P 4/m m m'
_symmetry_Int_Tables_number 123
_symmetry_space_group_name_Hall '-P 4 2'
_cell_length_a 4.502
_cell_length_b 4.502
_cell_length_c 3.922
_cell_angle_alpha 90.00
_cell_angle_beta 90.00
_cell_angle_gamma 90.00
loop_
_atom_site_label
_atom_site_type_symbol
_atom_site_fract_x
_atom_site_fract_y
_atom_site_fract_z
U1 U 0.000 0.000 0.000
Ag1 Ag 0.500 0.500 0.000
Ge1 Ge 0.000 0.500 0.500
# **Total energy**: -5.94 eV per atom
# **Formation energy from the elements**: -0.10 eV per atom
# **Total moment**: 0.536 μB/atom
# **D(E_F)**: 5.823 states/eV per cell
# **Calculated volume**: 79 Å³ per cell


(7)
# AlRu2Cl | Alexandria | GGA-PBE | optimized geometry
data_AlRu2Cl
_chemical_formula_sum 'Al1 Ru2 Cl1'
_symmetry_space_group_name_H-M 'P 1 2/m 1'
_symmetry_Int_Tables_number 10
_symmetry_space_group_name_Hall '-P 2y'
_cell_length_a 2.981
_cell_length_b 3.866
_cell_length_c 6.050
_cell_angle_alpha 90.00
_cell_angle_beta 102.29
_cell_angle_gamma 90.00
loop_
_atom_site_label
_atom_site_type_symbol
_atom_site_fract_x
_atom_site_fract_y
_atom_site_fract_z
Al1 Al 0.000 0.000 0.000
Ru1 Ru 0.414 0.500 0.186
Cl1 Cl 0.500 0.000 0.500
# **Uncorrected formation energy**: 0.3048 eV per atom
# **ΔE to the lowest computed polymorph**: 0.410 eV/atom
# **Total energy**: -5.73 eV per atom
# **Total moment**: 0.000 μB/atom
# **D(E_F)**: 2.232 states/eV per cell
# **Calculated volume**: 68 Å³ per cell


(8)
# FeAgSe | Alexandria | GGA-PBE | optimized geometry
data_FeAgSe
_chemical_formula_sum 'Fe4 Ag4 Se4'
_symmetry_space_group_name_H-M 'F -4 3 m'
_symmetry_Int_Tables_number 216
_symmetry_space_group_name_Hall 'F -4 2 3'
_cell_length_a 6.063
_cell_length_b 6.063
_cell_length_c 6.063
_cell_angle_alpha 90.00
_cell_angle_beta 90.00
_cell_angle_gamma 90.00
loop_
_atom_site_label
_atom_site_type_symbol
_atom_site_fract_x
_atom_site_fract_y
_atom_site_fract_z
Fe1 Fe 0.000 0.000 0.000
Ag1 Ag 0.250 0.250 0.750
Se1 Se 0.250 0.250 0.250
# **Uncorrected formation energy**: 0.2483 eV per atom
# **ΔE to the lowest computed polymorph**: 0.131 eV/atom
# **Total energy**: -4.68 eV per atom
# **Total moment**: 1.014 μB/atom
# **D(E_F)**: 16.941 states/eV per cell
# **Calculated volume**: 223 Å³ per cell


(9)
# GaRe2N | Alexandria | GGA-PBE | optimized geometry
data_GaRe2N
_chemical_formula_sum 'Ga4 Re8 N4'
_symmetry_space_group_name_H-M 'I -4 2 d'
_symmetry_Int_Tables_number 122
_symmetry_space_group_name_Hall 'I -4 2bw'
_cell_length_a 4.774
_cell_length_b 4.774
_cell_length_c 11.632
_cell_angle_alpha 90.00
_cell_angle_beta 90.00
_cell_angle_gamma 90.00
loop_
_atom_site_label
_atom_site_type_symbol
_atom_site_fract_x
_atom_site_fract_y
_atom_site_fract_z
Ga1 Ga 0.000 0.000 0.000
Re1 Re 0.127 0.250 0.625
N1 N 0.000 0.000 0.500
# **Uncorrected formation energy**: 0.8363 eV per atom
# **ΔE to the lowest computed polymorph**: 0.096 eV/atom
# **Total energy**: -8.23 eV per atom
# **Total moment**: 0.000 μB/atom
# **D(E_F)**: 12.153 states/eV per cell
# **Calculated volume**: 265 Å³ per cell


(10)
# Fe2CuW | Alexandria | GGA-PBE | optimized geometry
data_Fe2CuW
_chemical_formula_sum 'Fe2 Cu1 W1'
_symmetry_space_group_name_H-M 'P 1 2/m 1'
_symmetry_Int_Tables_number 10
_symmetry_space_group_name_Hall '-P 2y'
_cell_length_a 2.556
_cell_length_b 4.218
_cell_length_c 4.833
_cell_angle_alpha 90.00
_cell_angle_beta 97.32
_cell_angle_gamma 90.00
loop_
_atom_site_label
_atom_site_type_symbol
_atom_site_fract_x
_atom_site_fract_y
_atom_site_fract_z
Fe1 Fe 0.241 0.000 0.252
Cu1 Cu 0.000 0.500 0.500
W1 W 0.500 0.500 0.000
# **ΔE to the lowest computed polymorph**: 0.074 eV/atom
# **Total energy**: -8.25 eV per atom
# **Formation energy from the elements**: 0.24 eV per atom
# **Total moment**: 1.003 μB/atom
# **D(E_F)**: 4.021 states/eV per cell
# **Calculated volume**: 52 Å³ per cell


(11)
# Pt2C | Alexandria | GGA-PBE | optimized geometry
data_Pt2C
_chemical_formula_sum 'Pt8 C4'
_symmetry_space_group_name_H-M 'C 1 2/m 1'
_symmetry_Int_Tables_number 12
_symmetry_space_group_name_Hall '-C 2y'
_cell_length_a 10.244
_cell_length_b 2.990
_cell_length_c 6.908
_cell_angle_alpha 90.00
_cell_angle_beta 128.77
_cell_angle_gamma 90.00
loop_
_atom_site_label
_atom_site_type_symbol
_atom_site_fract_x
_atom_site_fract_y
_atom_site_fract_z
Pt1 Pt 0.062 0.000 0.260
Pt2 Pt 0.214 0.000 0.762
C1 C 0.108 0.500 0.851
# **ΔE to the lowest computed polymorph**: 0.021 eV/atom
# **Total energy**: -6.52 eV per atom
# **Formation energy from the elements**: 0.58 eV per atom
# **Total moment**: 0.000 μB/atom
# **D(E_F)**: 2.477 states/eV per cell
# **Calculated volume**: 165 Å³ per cell


(12)
# K2CaTa | Alexandria | GGA-PBE | optimized geometry
data_K2CaTa
_chemical_formula_sum 'K6 Ca3 Ta3'
_symmetry_space_group_name_H-M 'R -3 m'
_symmetry_Int_Tables_number 166
_symmetry_space_group_name_Hall '-R 3 2"'
_cell_length_a 3.3690
_cell_length_b 3.3690
_cell_length_c 41.4305
_cell_angle_alpha 90.00
_cell_angle_beta 90.00
_cell_angle_gamma 120.00
loop_
_atom_site_label
_atom_site_type_symbol
_atom_site_fract_x
_atom_site_fract_y
_atom_site_fract_z
K1 K 0.0000 0.0000 0.2424
Ca1 Ca 0.0000 0.0000 0.0000
Ta1 Ta 0.0000 0.0000 0.5000
# **ΔE to the lowest computed polymorph**: 0.230 eV/atom
# **Total energy**: -2.92 eV per atom
# **Formation energy from the elements**: 1.10 eV per atom
# **Total moment**: 0.139 μB/atom
# **D(E_F)**: 13.055 states/eV per cell
# **Calculated volume**: 407 Å³ per cell


Repeat the second record exactly.
# SrAlCuIr2 | Alexandria | GGA-PBE | optimized geometry
data_SrAlCuIr2
_chemical_formula_sum 'Sr1 Al1 Cu1 Ir2'
_symmetry_space_group_name_H-M 'P 4/m m m'
_symmetry_Int_Tables_number 123
_symmetry_space_group_name_Hall '-P 4 2'
_cell_length_a 4.561
_cell_length_b 4.561
_cell_length_c 5.400
_cell_angle_alpha 90.00
_cell_angle_beta 90.00
_cell_angle_gamma 90.00
loop_
_atom_site_label
_atom_site_type_symbol
_atom_site_fract_x
_atom_site_fract_y
_atom_site_fract_z
Sr1 Sr 0.000 0.000 0.000
Al1 Al 0.000 0.000 0.500
Cu1 Cu 0.500 0.500 0.000
Ir1 Ir 0.000 0.500 0.500
# **Total energy**: -4.66 eV per atom
# **Formation energy from the elements**: 0.79 eV per atom
# **Total moment**: 0.000 μB/atom
# **D(E_F)**: 2.453 states/eV per cell
# **Calculated volume**: 112 Å³ per cell


Q: Number 1 is which compound?
A: LaCe3Si2


Q: The lowest D(E_F) belongs to which entry?
A: AlRu2Cl